Compound: K2Dy3Ge2S8
Source: the Open Quantum Materials Database
Functional: PBE
Structure: optimized geometry

Unit cell a=7.0351 b=7.0351 c=8.3343 alpha=93.26 beta=93.26 gamma=69.65
Closest atoms and distances in Å follow each position.
Fractional positions:
K: 0.2335 0.2335 0.2312  6 S 2.88-3.17
K: 0.7665 0.7665 0.7688  6 S 2.88-3.17
Dy: 0.2729 0.7271 0.5000  6 S 2.70-2.94
Dy: 0.2974 0.7026 0.0000  4 S 2.63-2.86
Dy: 0.7819 0.2181 0.5000  6 S 2.82-2.87
Ge: 0.2461 0.2813 0.7207  2 S 2.30-2.41
Ge: 0.7187 0.7539 0.2793  2 S 2.30-2.41
S: 0.0088 0.9332 0.2694  2 Dy 2.70-2.82, 1 Ge 2.75
S: 0.0203 0.4713 0.5123  1 Ge 2.41
S: 0.0668 0.9912 0.7306  2 Dy 2.70-2.82, 1 Ge 2.75
S: 0.0876 0.4588 0.9451  1 Ge 2.30
S: 0.5080 0.4748 0.7289  1 Ge 2.64, 3 Dy 2.74-2.87
S: 0.5252 0.4920 0.2711  1 Ge 2.64, 3 Dy 2.74-2.87
S: 0.5287 0.9797 0.4877  1 Ge 2.41
S: 0.5412 0.9124 0.0549  1 Ge 2.30

Values from the calculation:
- E_tot: -5.16 eV/atom
- ρ: 4.16 g/cm3
- SG: C2
- Crystal system: monoclinic